[1]
Material: PmNdGaRh
Method: DFT, PBE
State: optimized geometry

Properties
The space group is No. 216. The value obtained for the electronic total energy is -5.5217 eV per atom. The energy relative to the elements is -0.548 eV/atom. The total magnetic moment comes out at 0.00 μB/f.u.

a = 5.112 Å, b = 5.112 Å, c = 5.112 Å
α = 60.00°, β = 60.00°, γ = 60.00°
Sites, in units of the cell vectors:
Pm 0.000 0.000 0.000
Nd 0.500 0.500 0.500
Ga 0.250 0.250 0.250
Rh 0.750 0.750 0.750

[2]
Material: La2Au
Method: DFT, PBE
State: optimized geometry

Properties
The space group is No. 141. The value obtained for the electronic total energy is -4.7838 eV per atom. The energy relative to the elements is -0.406 eV/atom. The total magnetic moment comes out at 0.00 μB/f.u.

a = 13.694 Å, b = 13.694 Å, c = 13.694 Å
α = 164.32°, β = 164.32°, γ = 22.24°
Sites, in units of the cell vectors:
La 0.307 0.557 0.750
La 0.443 0.693 0.750
La 0.557 0.307 0.250
La 0.693 0.443 0.250
Au 0.125 0.875 0.250
Au 0.875 0.125 0.750

[3]
Material: Ca3InGa4
Method: DFT, PBE
State: optimized geometry

Properties
The space group is No. 71. The value obtained for the electronic total energy is -2.8384 eV per atom. The energy relative to the elements is -0.232 eV/atom. The total magnetic moment comes out at 0.00 μB/f.u.

a = 9.468 Å, b = 9.468 Å, c = 9.468 Å
α = 151.20°, β = 146.66°, γ = 44.62°
Sites, in units of the cell vectors:
Ca 0.000 0.000 0.000
Ca 0.292 0.792 0.500
Ca 0.708 0.208 0.500
In 0.500 0.500 0.000
Ga 0.103 0.370 0.732
Ga 0.362 0.630 0.732
Ga 0.638 0.370 0.268
Ga 0.897 0.630 0.268

[4]
Material: Dy5Sb2Te2
Method: DFT, PBE
State: optimized geometry

Properties
The space group is No. 12. The energy relative to the elements, uncorrected comes out at -0.87 eV/atom. The value obtained for the electronic total energy is -5.0400 eV per atom. The total magnetic moment comes out at 0.00 μB/f.u.

a = 8.064 Å, b = 8.064 Å, c = 9.065 Å
α = 123.71°, β = 123.71°, γ = 38.40°
Sites, in units of the cell vectors:
Dy 0.000 0.000 0.000
Dy 0.134 0.134 0.798
Dy 0.366 0.366 0.683
Dy 0.634 0.634 0.317
Dy 0.866 0.866 0.202
Sb 0.382 0.382 0.036
Sb 0.618 0.618 0.964
Te 0.118 0.118 0.445
Te 0.882 0.882 0.555

[5]
Material: Nd6SnOs2Br3
Method: DFT, PBE
State: optimized geometry

Properties
The space group is No. 12. The energy relative to the elements, uncorrected comes out at -0.79 eV/atom. The value obtained for the electronic total energy is -5.7981 eV per atom. The total magnetic moment comes out at 0.00 μB/f.u.

a = 10.241 Å, b = 10.241 Å, c = 9.182 Å
α = 106.95°, β = 106.95°, γ = 23.66°
Sites, in units of the cell vectors:
Nd 0.030 0.030 0.263
Nd 0.319 0.319 0.431
Nd 0.333 0.333 0.861
Nd 0.667 0.667 0.139
Nd 0.681 0.681 0.569
Nd 0.970 0.970 0.737
Sn 0.500 0.500 0.000
Os 0.171 0.171 0.350
Os 0.829 0.829 0.650
Br 0.169 0.169 0.848
Br 0.500 0.500 0.500
Br 0.831 0.831 0.152

[6]
Material: Nd2CuSn
Method: DFT, PBE
State: optimized geometry

Properties
The space group is No. 123. The value obtained for the electronic total energy is -4.8135 eV per atom. The energy relative to the elements is -0.405 eV/atom. The total magnetic moment comes out at 0.00 μB/f.u.

a = 3.597 Å, b = 3.597 Å, c = 8.023 Å
α = 90.00°, β = 90.00°, γ = 90.00°
Sites, in units of the cell vectors:
Nd 0.000 0.000 0.228
Nd 0.000 0.000 0.772
Cu 0.500 0.500 0.000
Sn 0.500 0.500 0.500